Record 1
Entry from Alexandria via LeMat-Bulk: crystalline LiTeRu2 at its relaxed geometry (GGA-PBE).

Properties
For the volume, the calculation gives 15.5 Å³/atom. The space group is F-43m. The calculation puts the total magnetic moment at 0.0 μB per cell. Its final energy is -5.702 eV per atom.

abc: 6.2824 6.2824 6.2824
angles: 90.00 90.00 90.00
Last column: nearest neighbours and their distance in Å.
Positions (direct):
1 Li 0.0000 0.0000 0.0000  4 Ru 2.72, 4 Te 2.72
2 Li 0.0000 0.5000 0.5000  4 Ru 2.72, 4 Te 2.72
3 Li 0.5000 0.0000 0.5000  4 Ru 2.72, 4 Te 2.72
4 Li 0.5000 0.5000 0.0000  4 Ru 2.72, 4 Te 2.72
5 Te 0.2500 0.2500 0.2500  4 Li 2.72, 4 Ru 2.72
6 Te 0.2500 0.7500 0.7500  4 Ru 2.72, 4 Li 2.72
7 Te 0.7500 0.2500 0.7500  4 Ru 2.72, 4 Li 2.72
8 Te 0.7500 0.7500 0.2500  4 Ru 2.72, 4 Li 2.72
9 Ru 0.0000 0.0000 0.5000  4 Ru 2.72, 4 Te 2.72
10 Ru 0.0000 0.5000 0.0000  4 Ru 2.72, 4 Te 2.72
11 Ru 0.2500 0.2500 0.7500  4 Li 2.72, 4 Ru 2.72
12 Ru 0.2500 0.7500 0.2500  4 Li 2.72, 4 Ru 2.72
13 Ru 0.5000 0.0000 0.0000  4 Ru 2.72, 4 Te 2.72
14 Ru 0.5000 0.5000 0.5000  4 Ru 2.72, 4 Te 2.72
15 Ru 0.7500 0.2500 0.2500  4 Li 2.72, 4 Ru 2.72
16 Ru 0.7500 0.7500 0.7500  4 Li 2.72, 4 Ru 2.72

Record 2
Entry from Alexandria via LeMat-Bulk: crystalline Mn2HgAu at its relaxed geometry (GGA-PBE).

Properties
For the volume, the calculation gives 17.3 Å³/atom. The space group is I-4m2. The calculation puts the total magnetic moment at 15.8 μB per cell. The formation enthalpy at 0 K comes out at 0.23 eV/atom.

abc: 4.0115 4.0115 8.5908
angles: 90.00 90.00 90.00
Last column: nearest neighbours and their distance in Å.
Positions (direct):
1 Mn 0.0000 0.0000 0.0000  4 Hg 2.84, 4 Mn 2.94, 4 Au 2.94
2 Mn 0.0000 0.5000 0.2500  4 Au 2.84, 4 Hg 2.94, 4 Mn 2.94
3 Mn 0.5000 0.0000 0.7500  4 Au 2.84, 4 Hg 2.94, 4 Mn 2.94
4 Mn 0.5000 0.5000 0.5000  4 Hg 2.84, 4 Mn 2.94, 4 Au 2.94
5 Hg 0.0000 0.0000 0.5000  8 Mn 2.84-2.94, 4 Au 2.94
6 Hg 0.5000 0.5000 0.0000  8 Mn 2.84-2.94, 4 Au 2.94
7 Au 0.0000 0.5000 0.7500  8 Mn 2.84-2.94, 4 Hg 2.94
8 Au 0.5000 0.0000 0.2500  8 Mn 2.84-2.94, 4 Hg 2.94

Record 3
Entry from Alexandria via LeMat-Bulk: crystalline Ac6Cd3Ir2Rh at its relaxed geometry (GGA-PBE).

Properties
For the volume, the calculation gives 34.5 Å³/atom. The space group is C2/m. The calculation puts the total magnetic moment at 0.0 μB per cell. The formation enthalpy at 0 K comes out at -0.49 eV/atom.

abc: 7.4845 7.4845 8.8826
angles: 98.08 98.08 119.96
Last column: nearest neighbours and their distance in Å.
Positions (direct):
1 Ac 0.1014 0.4360 0.8078  2 Ir 2.98, 1 Rh 2.99
2 Ac 0.2302 0.2302 0.1928  2 Ir 2.98, 1 Rh 2.99
3 Ac 0.4360 0.1014 0.8078  2 Ir 2.98, 1 Rh 2.99
4 Ac 0.5640 0.8986 0.1922  2 Ir 2.98, 1 Rh 2.99
5 Ac 0.7698 0.7698 0.8072  2 Ir 2.98, 1 Rh 2.99
6 Ac 0.8986 0.5640 0.1922  2 Ir 2.98, 1 Rh 2.99
7 Cd 0.0000 0.0000 0.5000  6 Ac 3.61-3.62
8 Cd 0.3325 0.6675 0.5000  6 Ac 3.61-3.63
9 Cd 0.6675 0.3325 0.5000  6 Ac 3.61-3.63
10 Ir 0.1665 0.8335 0.0000  6 Ac 2.98
11 Ir 0.8335 0.1665 0.0000  6 Ac 2.98
12 Rh 0.5000 0.5000 0.0000  6 Ac 2.99